Arrangement 1

An optimized crystal structure of Cu4Pd4Au. Source: Alexandria, functional PBE.

abc: 6.064 6.064 6.064
angles: 95.98 95.98 142.32
Element x y z (fractional)
Cu 0.000 0.342 0.342
Cu 0.000 0.658 0.658
Cu 0.342 0.000 0.342
Cu 0.658 0.000 0.658
Pd 0.329 0.329 0.658
Pd 0.329 0.671 0.000
Pd 0.671 0.329 0.000
Pd 0.671 0.671 0.342
Au 0.000 0.000 0.000

=====

Arrangement 2

An optimized crystal structure of Cu4Pd4Au. Source: Alexandria, functional PBE.

abc: 5.448 5.448 9.163
angles: 90.00 90.00 90.00
Element x y z (fractional)
Cu 0.034 0.250 0.194
Cu 0.250 0.034 0.694
Cu 0.250 0.466 0.694
Cu 0.466 0.250 0.194
Cu 0.534 0.750 0.806
Cu 0.750 0.534 0.306
Cu 0.750 0.966 0.306
Cu 0.966 0.750 0.806
Pd 0.003 0.250 0.480
Pd 0.250 0.003 0.980
Pd 0.250 0.497 0.980
Pd 0.497 0.250 0.480
Pd 0.503 0.750 0.520
Pd 0.750 0.503 0.020
Pd 0.750 0.997 0.020
Pd 0.997 0.750 0.520
Au 0.250 0.750 0.250
Au 0.750 0.250 0.750

=====

So which one is most stable? That would be arrangement 1, about 0.172 eV/atom below the next structure.